The following is a PBE calculation of a relaxed structure of NaY2GeMo, from Alexandria.

Calculated values
volume: 29.41 Å³ per atom
E_form: 0.41 eV/atom

Cell: 5.5384 5.5384 4.7941 Å, 90.00 90.00 90.00°
Space group P4/mmm (No. 123)
Asymmetric unit:
Na (0.0000, 0.0000, 0.0000) [1 per cell]
Y (0.0000, 0.5000, 0.5000) [2 per cell]
Ge (0.5000, 0.5000, 0.5000) [1 per cell]
Mo (0.5000, 0.5000, 0.0000) [1 per cell]

---

The following is a PBE calculation of a relaxed structure of Nb3Ge4Mo, from Alexandria.

Calculated values
volume: 17.77 Å³ per atom
E_form: 0.00 eV/atom

Cell: 5.0489 5.6348 9.9925 Å, 90.00 90.00 90.00°
Space group Pmmn (No. 59, origin choice 2)
Asymmetric unit:
Nb (0.2500, 0.0047, 0.1988) [4 per cell]
Nb (0.2500, 0.7500, 0.6946) [2 per cell]
Ge (0.2500, 0.0045, 0.9290) [4 per cell]
Ge (0.2500, 0.2500, 0.4387) [2 per cell]
Ge (0.2500, 0.7500, 0.4268) [2 per cell]
Mo (0.2500, 0.2500, 0.7023) [2 per cell]

---

The following is a PBE calculation of a relaxed structure of Nb2Ge4Mo, from Alexandria.

Calculated values
distance to the lowest polymorph of the same formula: 544.7 meV per atom
volume: 21.47 Å³ per atom
E_form: 0.47 eV/atom

Cell: 4.8101 4.8101 12.9893 Å, 90.00 90.00 90.00°
Space group I4/mmm (No. 139)
Asymmetric unit:
Nb (0.0000, 0.0000, 0.0994) [4 per cell]
Ge (0.0000, 0.0000, 0.3036) [4 per cell]
Ge (0.0000, 0.5000, 0.0000) [4 per cell]
Mo (0.0000, 0.0000, 0.5000) [2 per cell]

---

The following is a PBE calculation of a relaxed structure of NbGe4Mo, from Alexandria.

Calculated values
volume: 15.99 Å³ per atom
E_form: -0.22 eV/atom

Cell: 9.0771 3.3653 6.7665 Å, 90.00 111.79 90.00°
Space group C2/m (No. 12)
Asymmetric unit:
Nb (0.0000, 0.0000, 0.0000) [2 per cell]
Ge (0.1616, 0.5000, 0.3351) [4 per cell]
Ge (0.1630, 0.5000, 0.8263) [4 per cell]
Mo (0.0000, 0.0000, 0.5000) [2 per cell]

---

The following is a PBE calculation of a relaxed structure of NbGe6Mo2, from Alexandria.

Calculated values
volume: 15.78 Å³ per atom
E_form: -0.19 eV/atom

Cell: 4.9331 8.4876 6.7827 Å, 90.00 90.00 90.00°
Space group C222 (No. 21)
Asymmetric unit:
Nb (0.0000, 0.0000, 0.0000) [2 per cell]
Ge (0.0000, 0.3340, 0.0000) [4 per cell]
Ge (0.2477, 0.4164, 0.3352) [8 per cell]
Mo (0.2500, 0.2500, 0.6655) [4 per cell]

---

The following is a PBE calculation of a relaxed structure of Nb2Ge4Mo, from Alexandria.

Calculated values
distance to the lowest polymorph of the same formula: 0.0 meV per atom
volume: 17.24 Å³ per atom
E_form: -0.07 eV/atom

Cell: 6.2753 5.0084 8.1840 Å, 90.00 110.26 90.00°
Space group P2_1/m (No. 11)
Asymmetric unit:
Nb (0.1797, 0.2500, 0.0729) [2 per cell]
Nb (0.2199, 0.2500, 0.5211) [2 per cell]
Ge (0.0756, 0.0003, 0.7588) [4 per cell]
Ge (0.4382, 0.7500, 0.0414) [2 per cell]
Ge (0.4540, 0.7500, 0.6400) [2 per cell]
Mo (0.3248, 0.7500, 0.3067) [2 per cell]

---

The following is a PBE calculation of a relaxed structure of NbGeMo2, from Alexandria.

Calculated values
volume: 17.50 Å³ per atom
E_form: 0.65 eV/atom

Cell: 7.1176 7.1176 5.5270 Å, 90.00 90.00 90.00°
Space group I-42d (No. 122)
Asymmetric unit:
Nb (0.0000, 0.0000, 0.0000) [4 per cell]
Ge (0.0000, 0.0000, 0.5000) [4 per cell]
Mo (0.2286, 0.2500, 0.6250) [8 per cell]

---

The following is a PBE calculation of a relaxed structure of Nb2Ge3Mo, from Alexandria.

Calculated values
volume: 17.03 Å³ per atom
E_form: -0.04 eV/atom

Cell: 10.7095 5.2763 7.8280 Å, 90.00 112.47 90.00°
Space group C2/c (No. 15)
Asymmetric unit:
Nb (0.1820, 0.0018, 0.0802) [8 per cell]
Ge (0.0000, 0.1957, 0.2500) [4 per cell]
Ge (0.1349, 0.4966, 0.5711) [8 per cell]
Mo (0.0000, 0.2925, 0.7500) [4 per cell]

---

The following is a PBE calculation of a relaxed structure of NbGe6Mo5, from Alexandria.

Calculated values
volume: 17.09 Å³ per atom
E_form: 0.25 eV/atom

Cell: 6.4619 11.1990 5.9412 Å, 90.00 107.50 90.00°
Space group C2/m (No. 12)
Asymmetric unit:
Nb (0.0000, 0.0000, 0.0000) [2 per cell]
Ge (0.1932, 0.5000, 0.1871) [4 per cell]
Ge (0.2222, 0.3200, 0.7030) [8 per cell]
Mo (0.0000, 0.1147, 0.5000) [4 per cell]
Mo (0.0000, 0.3021, 0.0000) [4 per cell]
Mo (0.0000, 0.5000, 0.5000) [2 per cell]

---

The following is a PBE calculation of a relaxed structure of Nb4Ge3Mo, from Alexandria.

Calculated values
volume: 16.59 Å³ per atom
E_form: -0.45 eV/atom

Cell: 10.1620 10.1620 5.1417 Å, 90.00 90.00 90.00°
Space group I4/mcm (No. 140)
Asymmetric unit:
Nb (0.0768, 0.2247, 0.0000) [16 per cell]
Ge (0.0000, 0.0000, 0.2500) [4 per cell]
Ge (0.1640, 0.3360, 0.5000) [8 per cell]
Mo (0.0000, 0.5000, 0.2500) [4 per cell]

---

The following is a PBE calculation of a relaxed structure of Nb6GeMo5, from Alexandria.

Calculated values
volume: 16.96 Å³ per atom
E_form: -0.15 eV/atom

Cell: 4.5688 6.5098 13.6851 Å, 90.00 90.00 90.00°
Space group Immm (No. 71)
Asymmetric unit:
Nb (0.0000, 0.2413, 0.0000) [4 per cell]
Nb (0.0000, 0.2526, 0.3317) [8 per cell]
Ge (0.0000, 0.0000, 0.5000) [2 per cell]
Mo (0.0000, 0.0000, 0.1685) [4 per cell]
Mo (0.0000, 0.5000, 0.1615) [4 per cell]
Mo (0.0000, 0.5000, 0.5000) [2 per cell]

---

The following is a PBE calculation of a relaxed structure of NbGeMoRu, from Alexandria.

Calculated values
volume: 15.56 Å³ per atom
E_form: -0.16 eV/atom

Cell: 6.2910 6.2910 6.2910 Å, 90.00 90.00 90.00°
Space group F-43m (No. 216)
Asymmetric unit:
Nb (0.0000, 0.0000, 0.0000) [4 per cell]
Ge (0.0000, 0.0000, 0.5000) [4 per cell]
Mo (0.2500, 0.2500, 0.7500) [4 per cell]
Ru (0.2500, 0.2500, 0.2500) [4 per cell]

---

The following is a PBE calculation of a relaxed structure of NbGe2MoSe, from Alexandria.

Calculated values
volume: 24.98 Å³ per atom
formation energy without anion corrections: 0.9821 eV per atom

Cell: 5.0330 5.0330 4.9313 Å, 90.00 90.00 90.00°
Space group P4/mmm (No. 123)
Asymmetric unit:
Nb (0.0000, 0.0000, 0.0000) [1 per cell]
Ge (0.0000, 0.5000, 0.0000) [2 per cell]
Mo (0.5000, 0.5000, 0.5000) [1 per cell]
Se (0.0000, 0.0000, 0.5000) [1 per cell]

---

The following is a PBE calculation of a relaxed structure of NbGeMoSe2, from Alexandria.

Calculated values
volume: 24.99 Å³ per atom
formation energy without anion corrections: 0.8259 eV per atom

Cell: 5.0051 5.0051 4.9869 Å, 90.00 90.00 90.00°
Space group P4/mmm (No. 123)
Asymmetric unit:
Nb (0.0000, 0.0000, 0.0000) [1 per cell]
Ge (0.5000, 0.5000, 0.5000) [1 per cell]
Mo (0.0000, 0.0000, 0.5000) [1 per cell]
Se (0.0000, 0.5000, 0.0000) [2 per cell]

---

The following is a PBE calculation of a relaxed structure of NbSiGe2Mo, from Alexandria.

Calculated values
volume: 21.78 Å³ per atom
formation energy without anion corrections: 0.9658 eV per atom

Cell: 4.8186 4.8186 4.6904 Å, 90.00 90.00 90.00°
Space group P4/mmm (No. 123)
Asymmetric unit:
Nb (0.0000, 0.0000, 0.0000) [1 per cell]
Si (0.5000, 0.5000, 0.0000) [1 per cell]
Ge (0.0000, 0.5000, 0.5000) [2 per cell]
Mo (0.5000, 0.5000, 0.5000) [1 per cell]

---

The following is a PBE calculation of a relaxed structure of Nb3SnGeMo3, from Alexandria.

Calculated values
volume: 17.04 Å³ per atom
E_form: -0.21 eV/atom

Cell: 7.2753 7.2753 8.9229 Å, 90.00 90.00 120.00°
Space group R3 (No. 146, hexagonal axes)
Asymmetric unit:
Nb (0.0843, 0.6706, 0.0000) [9 per cell]
Sn (0.0000, 0.0000, 0.5860) [3 per cell]
Ge (0.0000, 0.0000, 0.0849) [3 per cell]
Mo (0.0017, 0.2502, 0.8360) [9 per cell]

---

The following is a PBE calculation of a relaxed structure of NbTcGeMo, from Alexandria.

Calculated values
volume: 15.71 Å³ per atom
E_form: -0.11 eV/atom

Cell: 6.3117 6.3117 6.3117 Å, 90.00 90.00 90.00°
Space group F-43m (No. 216)
Asymmetric unit:
Nb (0.0000, 0.0000, 0.0000) [4 per cell]
Tc (0.2500, 0.2500, 0.7500) [4 per cell]
Ge (0.0000, 0.0000, 0.5000) [4 per cell]
Mo (0.2500, 0.2500, 0.2500) [4 per cell]

---

The following is a PBE calculation of a relaxed structure of ThNbGe2Mo, from Alexandria.

Calculated values
volume: 20.00 Å³ per atom
E_form: -0.47 eV/atom

Cell: 4.0986 4.0986 11.9056 Å, 90.00 90.00 90.00°
Space group I-4m2 (No. 119)
Asymmetric unit:
Th (0.0000, 0.0000, 0.0000) [2 per cell]
Nb (0.0000, 0.5000, 0.7500) [2 per cell]
Ge (0.0000, 0.0000, 0.3912) [4 per cell]
Mo (0.0000, 0.5000, 0.2500) [2 per cell]

---

The following is a PBE calculation of a relaxed structure of NbVGeMo, from Alexandria.

Calculated values
volume: 15.63 Å³ per atom
E_form: -0.09 eV/atom

Cell: 6.2998 6.2998 6.2998 Å, 90.00 90.00 90.00°
Space group F-43m (No. 216)
Asymmetric unit:
Nb (0.0000, 0.0000, 0.0000) [4 per cell]
V (0.2500, 0.2500, 0.2500) [4 per cell]
Ge (0.0000, 0.0000, 0.5000) [4 per cell]
Mo (0.2500, 0.2500, 0.7500) [4 per cell]